Entry 1:
Density functional theory data (PBE) for a geometry-optimized SrLi2La2 structure.

Computed properties:
Energy above the lowest structure with this stoichiometry = 0.0 meV per atom
Space-group type = P4/mbm (127)
Total moment = 0.00 μB per cell
Calculated total energy = -2.898 eV per atom

Structure (POSCAR):
```
SrLi2La2
1.0
9.4646 0.0000 0.0000
0.0000 9.4646 0.0000
0.0000 0.0000 3.6267
La Li Sr
4 4 2
Cartesian
1.0882 3.6441 0.0000
5.8205 1.0882 0.0000
8.3764 5.8205 0.0000
3.6441 8.3764 0.0000
3.0631 1.6692 1.8133
7.7954 3.0631 1.8133
6.4015 7.7954 1.8133
1.6692 6.4015 1.8133
0.0000 0.0000 0.0000
4.7323 4.7323 0.0000
```

Entry 2:
Density functional theory data (PBE) for a geometry-optimized SrLi2La structure.

Computed properties:
Energy above the lowest structure with this stoichiometry = 0.0 meV per atom
Space-group type = P4mm (99)
Total moment = 0.00 μB per cell
Calculated total energy = -2.512 eV per atom

Structure (POSCAR):
```
SrLi2La
1.0
3.8449 0.0000 0.0000
0.0000 3.8449 0.0000
0.0000 0.0000 8.7709
Li La Sr
2 1 1
Cartesian
0.0000 0.0000 0.4126
1.9225 1.9225 1.6505
1.9225 1.9225 7.0349
0.0000 0.0000 4.0585
```

Entry 3:
Density functional theory data (PBE) for a geometry-optimized SrLi2La structure.

Computed properties:
Energy above the lowest structure with this stoichiometry = 22.4 meV per atom
Space-group type = C2/m (12)
Total moment = 0.00 μB per cell
Calculated total energy = -2.489 eV per atom

Structure (POSCAR):
```
SrLi2La
1.0
5.8681 0.0107 -0.0184
-0.0259 5.8681 -0.0184
0.0079 0.0080 3.8256
La Sr Li
1 1 2
Cartesian
-0.0090 2.9380 1.9036
2.9380 0.0093 1.9036
2.9211 2.9394 -0.0184
0.0000 0.0000 0.0000
```